This record from OQMD describes an optimized crystal structure of Cu5Sn4. The functional is PBE.

relative energy among the computed polymorphs: 2.4 meV/atom
crystal system: monoclinic

```
data_Cu5Sn4
_chemical_formula_sum 'Cu30 Sn24'
_cell_length_a 12.741
_cell_length_b 7.349
_cell_length_c 10.264
_cell_angle_alpha 90.00
_cell_angle_beta 90.28
_cell_angle_gamma 90.00
_space_group_name_H-M_alt 'C 1 2 1'
_space_group_IT_number 5
_space_group_name_Hall 'C 2y'
loop_
_atom_site_label
_atom_site_type_symbol
_atom_site_fract_x
_atom_site_fract_y
_atom_site_fract_z
Cu1 Cu 0.000 0.000 0.000
Cu2 Cu 0.009 0.667 0.623
Cu3 Cu 0.010 0.684 0.875
Cu4 Cu 0.159 0.140 0.874
Cu5 Cu 0.165 0.162 0.126
Cu6 Cu 0.168 0.143 0.623
Cu7 Cu 0.172 0.825 0.749
Cu8 Cu 0.173 0.171 0.377
Sn1 Sn 0.000 0.331 0.500
Sn2 Sn 0.000 0.358 0.000
Sn3 Sn 0.010 0.010 0.269
Sn4 Sn 0.149 0.504 0.248
Sn5 Sn 0.165 0.466 0.750
Sn6 Sn 0.168 0.825 0.479
Sn7 Sn 0.180 0.816 0.019
```


This record from OQMD describes an optimized crystal structure of TlZnOs2. The functional is PBE.

size of the total moment: 0.3 μB/f.u.
total energy: -5.60 eV per atom
crystal system: cubic

```
data_TlZnOs2
_chemical_formula_sum 'Tl4 Zn4 Os8'
_cell_length_a 6.395
_cell_length_b 6.395
_cell_length_c 6.395
_cell_angle_alpha 90.00
_cell_angle_beta 90.00
_cell_angle_gamma 90.00
_space_group_name_H-M_alt 'F -4 3 m'
_space_group_IT_number 216
_space_group_name_Hall 'F -4 2 3'
loop_
_atom_site_label
_atom_site_type_symbol
_atom_site_fract_x
_atom_site_fract_y
_atom_site_fract_z
Tl1 Tl 0.000 0.000 0.000
Zn1 Zn 0.250 0.250 0.250
Os1 Os 0.000 0.000 0.500
Os2 Os 0.250 0.250 0.750
```